PuFe2PdO8 | Alexandria via LeMat-Bulk | GGA+U | optimized geometry; calculated total energy = -7.064 eV/atom; magnetic moment = 9.98 μB/f.u.; space group = I-4m2
1.0
-3.8787 4.0947 1.4677
-2.6593 -3.7031 -3.6305
1.9018 -2.8032 4.7424
O Fe Pd Pu
8 2 1 1
Cartesian
-2.3251 -2.7781 2.0096
-2.0741 -1.1496 -0.4212
-1.8177 0.9323 4.2171
0.1222 -1.4228 3.8889
-1.0191 0.4107 1.7086
-4.9956 0.5273 -0.3180
-3.6746 2.1298 1.9413
-3.9806 -0.4982 2.3904
-2.6230 0.7437 2.5644
-3.2690 0.1958 -1.0814
-2.0133 -3.1553 0.0153
0.0000 0.0000 0.0000